Record 1
First-principles (PBE) data for a geometry-optimized YZnW structure, as listed in Alexandria via LeMat-Bulk.

Results
Total moment = 2.956 μB per formula unit
Volume = 75.9 Å³ per cell
VASP energy = -16.29 eV for the cell shown

Cell lengths 4.752, 4.752, 4.752 Å; angles 60.00, 60.00, 60.00 degrees
Positions (direct):
W (0.500, 0.500, 0.500)
Y (0.750, 0.750, 0.750)
Zn (0.000, 0.000, 0.000)

Record 2
First-principles (PBE) data for a geometry-optimized YZn4W2 structure, as listed in Alexandria via LeMat-Bulk.

Results
Total moment = 0.000 μB per formula unit
Volume = 176.3 Å³ per cell
VASP energy = -28.99 eV for the cell shown

Cell lengths 5.119, 5.119, 7.639 Å; angles 70.42, 70.42, 90.00 degrees
Positions (direct):
Y (0.000, 0.000, 0.000)
Zn (0.786, 0.786, 0.429)
Zn (0.214, 0.214, 0.571)
Zn (0.000, 0.500, 0.000)
Zn (0.500, 0.000, 0.000)
W (0.583, 0.583, 0.833)
W (0.417, 0.417, 0.167)

Record 3
First-principles (PBE) data for a geometry-optimized YZnW structure, as listed in Alexandria via LeMat-Bulk.

Results
Total moment = 0.000 μB per formula unit
Volume = 64.9 Å³ per cell
VASP energy = -18.25 eV for the cell shown

Cell lengths 4.511, 4.511, 4.511 Å; angles 60.00, 60.00, 60.00 degrees
Positions (direct):
W (0.000, 0.000, 0.000)
Y (0.500, 0.500, 0.500)
Zn (0.750, 0.750, 0.750)

Record 4
First-principles (PBE) data for a geometry-optimized YZnW3 structure, as listed in Alexandria via LeMat-Bulk.

Results
Total moment = 0.000 μB per formula unit
Volume = 113.1 Å³ per cell
VASP energy = -31.29 eV for the cell shown

Cell lengths 4.835, 4.835, 4.835 Å; angles 90.00, 90.00, 90.00 degrees
Positions (direct):
Y (0.000, 0.000, 0.000)
Zn (0.500, 0.500, 0.500)
W (0.000, 0.500, 0.000)
W (0.000, 0.000, 0.500)
W (0.500, 0.000, 0.000)

Record 5
First-principles (PBE) data for a geometry-optimized YZn2W structure, as listed in Alexandria via LeMat-Bulk.

Results
Total moment = 0.000 μB per formula unit
Volume = 74.9 Å³ per cell
VASP energy = -20.37 eV for the cell shown

Cell lengths 2.942, 5.328, 5.892 Å; angles 54.14, 90.00, 90.00 degrees
Positions (direct):
W (0.500, 0.500, 0.500)
Y (0.000, 0.000, 0.500)
Zn (0.000, 0.000, 0.000)
Zn (0.500, 0.500, 0.000)

Record 6
First-principles (PBE) data for a geometry-optimized YZnW structure, as listed in Alexandria via LeMat-Bulk.

Results
Total moment = 0.000 μB per formula unit
Volume = 58.9 Å³ per cell
VASP energy = -19.33 eV for the cell shown

Cell lengths 4.827, 4.827, 2.918 Å; angles 90.00, 90.00, 120.00 degrees
Positions (direct):
W (0.000, 0.000, 0.833)
Y (0.667, 0.333, 0.333)
Zn (0.333, 0.667, 0.833)

Record 7
First-principles (PBE) data for a geometry-optimized YZn2W structure, as listed in Alexandria via LeMat-Bulk.

Results
Total moment = 0.000 μB per formula unit
Volume = 72.7 Å³ per cell
VASP energy = -20.92 eV for the cell shown

Cell lengths 4.338, 2.988, 5.791 Å; angles 75.58, 90.00, 90.00 degrees
Positions (direct):
W (0.000, 0.464, 0.446)
Y (0.500, 0.800, 0.769)
Zn (0.000, 0.179, 0.017)
Zn (0.500, 0.058, 0.267)

Record 8
First-principles (PBE) data for a geometry-optimized YZnW structure, as listed in Alexandria via LeMat-Bulk.

Results
Total moment = 0.172 μB per formula unit
Volume = 58.4 Å³ per cell
VASP energy = -19.01 eV for the cell shown

Cell lengths 3.005, 3.005, 7.466 Å; angles 90.00, 90.00, 120.00 degrees
Positions (direct):
W (0.000, 0.000, 0.980)
Y (0.667, 0.333, 0.333)
Zn (0.333, 0.667, 0.687)

Record 9
First-principles (PBE) data for a geometry-optimized YZn2W structure, as listed in Alexandria via LeMat-Bulk.

Results
Total moment = 0.000 μB per formula unit
Volume = 71.9 Å³ per cell
VASP energy = -21.02 eV for the cell shown

Cell lengths 2.968, 2.968, 8.164 Å; angles 90.00, 90.00, 90.00 degrees
Positions (direct):
W (0.000, 0.000, 0.465)
Y (0.500, 0.500, 0.756)
Zn (0.000, 0.000, 0.038)
Zn (0.500, 0.500, 0.240)

Record 10
First-principles (PBE) data for a geometry-optimized YZn2W structure, as listed in Alexandria via LeMat-Bulk.

Results
Total moment = 0.528 μB per formula unit
Volume = 72.3 Å³ per cell
VASP energy = -21.00 eV for the cell shown

Cell lengths 4.954, 4.954, 4.954 Å; angles 128.60, 128.58, 75.67 degrees
Positions (direct):
W (0.750, 0.250, 0.500)
Y (0.250, 0.750, 0.500)
Zn (0.000, 0.000, 0.000)
Zn (0.500, 0.500, 0.000)

Record 11
First-principles (PBE) data for a geometry-optimized Y2ZnW structure, as listed in Alexandria via LeMat-Bulk.

Results
Total moment = 0.000 μB per formula unit
Volume = 89.2 Å³ per cell
VASP energy = -26.21 eV for the cell shown

Cell lengths 5.815, 5.815, 5.331 Å; angles 74.24, 74.24, 31.05 degrees
Positions (direct):
W (0.782, 0.782, 0.774)
Y (0.026, 0.026, 0.942)
Y (0.224, 0.224, 0.307)
Zn (0.467, 0.467, 0.477)

Record 12
First-principles (PBE) data for a geometry-optimized YZn2W structure, as listed in Alexandria via LeMat-Bulk.

Results
Total moment = 0.463 μB per formula unit
Volume = 73.9 Å³ per cell
VASP energy = -20.23 eV for the cell shown

Cell lengths 9.803, 9.803, 9.803 Å; angles 17.45, 17.45, 17.45 degrees
Positions (direct):
W (0.509, 0.509, 0.509)
Y (0.749, 0.749, 0.749)
Zn (0.992, 0.992, 0.992)
Zn (0.250, 0.250, 0.250)